w:
DFT (meta-GGA SCAN) results for a crystal of Ca2AlP relaxed with PBEsol.

Unit cell a=3.8835 b=4.4564 c=10.8577 alpha=90.00 beta=90.00 gamma=90.00
Closest atoms and distances in Å follow each position.
Space group Amm2 (No. 38)
One atom of each set of equivalent atoms:
Ca (0.0000, 0.0000, 0.0000) (multiplicity 2)  3 P 3.04-3.27, 4 Al 3.07
Ca (0.5000, 0.0000, 0.2862) (multiplicity 2)  4 P 3.04, 3 Al 3.17
Al (0.5000, 0.0000, 0.5780) (multiplicity 2)  2 P 2.48
P (0.0000, 0.0000, 0.7203) (multiplicity 2)  2 Al 2.48

Calculated values
The calculation puts the volume at 23.5 Å³ per atom.



x:
DFT (meta-GGA SCAN) results for a crystal of Ca2AlP relaxed with PBEsol.

Unit cell a=3.8224 b=3.8224 c=25.6988 alpha=90.00 beta=90.00 gamma=120.00
Closest atoms and distances in Å follow each position.
Space group R3m (No. 160, hexagonal axes)
One atom of each set of equivalent atoms:
Ca (0.0000, 0.0000, 0.0000) (multiplicity 3)  3 Al 3.26
Ca (0.0000, 0.0000, 0.2057) (multiplicity 3)  3 P 2.87
Al (0.0000, 0.0000, 0.7601) (multiplicity 3)  3 P 2.44
P (0.0000, 0.0000, 0.4676) (multiplicity 3)  3 Al 2.44

Calculated values
The calculation puts the volume at 27.1 Å³ per atom.



y:
DFT (meta-GGA SCAN) results for a crystal of Ca2AlP relaxed with PBEsol.

Unit cell a=7.1956 b=4.0719 c=7.9787 alpha=90.00 beta=106.23 gamma=90.00
Closest atoms and distances in Å follow each position.
Space group C2/m (No. 12)
One atom of each set of equivalent atoms:
Ca (0.2281, 0.0000, 0.1895) (multiplicity 4)  3 P 2.78-2.79
Al (0.0000, 0.0000, 0.5000) (multiplicity 2)  6 Ca 3.33-3.38
P (0.0000, 0.5000, 0.0000) (multiplicity 2)  6 Ca 2.78-2.79

Calculated values
The calculation puts the volume at 28.1 Å³ per atom.



Most stable structure, least stable structure: w, y.